(1)
Entry from Alexandria: an optimized crystal structure of Pa2VSn (PBE).

Calculated values
Polymorph energy (0 for the lowest one) ... 0.203 eV/atom
Symmetry ... P4/mmm (123)
Energy of formation from the pure elements ... 0.156 eV/atom

Cell lengths 3.874, 3.874, 6.220 Å; angles 90.00, 90.00, 90.00 degrees
Site moments in Bohr magnetons follow the coordinates.
Fractional coordinates of all 4 atoms:
1 Pa 0.000 0.000 0.773  0.30
2 Pa 0.000 0.000 0.227  0.30
3 Sn 0.500 0.500 0.500  -0.01
4 V 0.500 0.500 0.000  1.40


(2)
Entry from Alexandria: an optimized crystal structure of HfIr2Au (PBE).

Calculated values
Polymorph energy (0 for the lowest one) ... 0.000 eV/atom
Symmetry ... P4/mmm (123)
Energy of formation from the pure elements ... -0.602 eV/atom

Cell lengths 3.885, 4.099, 4.099 Å; angles 90.00, 90.00, 90.00 degrees
Fractional coordinates of all 4 atoms:
1 Hf 0.500 0.500 0.500
2 Ir 0.000 0.000 0.500
3 Ir 0.000 0.500 0.000
4 Au 0.500 0.000 0.000


(3)
Entry from Alexandria: an optimized crystal structure of BaV2CrPt (PBE).

Calculated values
Symmetry ... P4/mmm (123)
Energy of formation from the pure elements ... 2.787 eV/atom

Cell lengths 4.890, 5.161, 4.890 Å; angles 90.00, 90.00, 90.00 degrees
Site moments in Bohr magnetons follow the coordinates.
Fractional coordinates of all 5 atoms:
1 Cr 0.500 0.500 0.500  0.08
2 Ba 0.000 0.000 0.000  0.01
3 Pt 0.000 0.500 0.000  0.06
4 V 0.000 0.000 0.500  1.66
5 V 0.500 0.000 0.000  1.85


(4)
Entry from Alexandria: an optimized crystal structure of Mo9Os4Rh11 (PBE).

Calculated values
Symmetry ... Cmmm (65)
Energy of formation from the pure elements ... -0.024 eV/atom

Cell lengths 2.733, 12.097, 12.097 Å; angles 116.58, 90.00, 90.00 degrees
Fractional coordinates of all 24 atoms:
1 Mo 0.500 0.608 0.177
2 Mo 0.500 0.392 0.823
3 Mo 0.500 0.177 0.608
4 Mo 0.500 0.823 0.392
5 Mo 0.500 0.794 0.983
6 Mo 0.500 0.206 0.017
7 Mo 0.500 0.983 0.794
8 Mo 0.500 0.017 0.206
9 Mo 0.500 0.500 0.500
10 Os 0.500 0.584 0.766
11 Os 0.500 0.416 0.234
12 Os 0.500 0.766 0.584
13 Os 0.500 0.234 0.416
14 Rh 0.000 0.598 0.971
15 Rh 0.000 0.402 0.029
16 Rh 0.000 0.971 0.598
17 Rh 0.000 0.029 0.402
18 Rh 0.000 0.619 0.381
19 Rh 0.000 0.381 0.619
20 Rh 0.000 0.811 0.189
21 Rh 0.000 0.189 0.811
22 Rh 0.000 0.000 0.000
23 Rh 0.000 0.785 0.785
24 Rh 0.000 0.215 0.215


(5)
Entry from Alexandria: an optimized crystal structure of Y2Tc2Br (PBE).

Calculated values
Formation energy (no corrections) ... 0.06 eV/atom
Polymorph energy (0 for the lowest one) ... 0.000 eV/atom
Symmetry ... P4/mbm (127)

Cell lengths 8.261, 8.261, 3.444 Å; angles 90.00, 90.00, 90.00 degrees
Site moments in Bohr magnetons follow the coordinates.
Fractional coordinates of all 10 atoms:
1 Y 0.187 0.687 0.500  0.09
2 Y 0.687 0.813 0.500  0.08
3 Y 0.813 0.313 0.500  0.09
4 Y 0.313 0.187 0.500  0.08
5 Tc 0.405 0.905 0.000  0.10
6 Tc 0.905 0.595 0.000  0.10
7 Tc 0.595 0.095 0.000  0.10
8 Tc 0.095 0.405 0.000  0.10
9 Br 0.000 0.000 0.000  0.01
10 Br 0.500 0.500 0.000  0.01


(6)
Entry from Alexandria: an optimized crystal structure of La5Sn2C (PBE).

Calculated values
Symmetry ... Cmcm (63)
Energy of formation from the pure elements ... -0.133 eV/atom

Cell lengths 6.298, 8.187, 11.875 Å; angles 90.00, 90.00, 112.62 degrees
Fractional coordinates of all 16 atoms:
1 La 0.936 0.872 0.887
2 La 0.936 0.872 0.613
3 La 0.302 0.604 0.405
4 La 0.302 0.604 0.095
5 La 0.655 0.309 0.250
6 La 0.345 0.691 0.750
7 La 0.698 0.396 0.595
8 La 0.698 0.396 0.905
9 La 0.064 0.128 0.113
10 La 0.064 0.128 0.387
11 Sn 0.842 0.685 0.374
12 Sn 0.842 0.685 0.126
13 Sn 0.158 0.315 0.626
14 Sn 0.158 0.315 0.874
15 C 0.818 0.636 0.750
16 C 0.182 0.364 0.250


What did the second record say?
Entry from Alexandria: an optimized crystal structure of HfIr2Au (PBE).

Calculated values
Polymorph energy (0 for the lowest one) ... 0.000 eV/atom
Symmetry ... P4/mmm (123)
Energy of formation from the pure elements ... -0.602 eV/atom

Cell lengths 3.885, 4.099, 4.099 Å; angles 90.00, 90.00, 90.00 degrees
Fractional coordinates of all 4 atoms:
1 Hf 0.500 0.500 0.500
2 Ir 0.000 0.000 0.500
3 Ir 0.000 0.500 0.000
4 Au 0.500 0.000 0.000


Copy entry 1 word for word.
Entry from Alexandria: an optimized crystal structure of Pa2VSn (PBE).

Calculated values
Polymorph energy (0 for the lowest one) ... 0.203 eV/atom
Symmetry ... P4/mmm (123)
Energy of formation from the pure elements ... 0.156 eV/atom

Cell lengths 3.874, 3.874, 6.220 Å; angles 90.00, 90.00, 90.00 degrees
Site moments in Bohr magnetons follow the coordinates.
Fractional coordinates of all 4 atoms:
1 Pa 0.000 0.000 0.773  0.30
2 Pa 0.000 0.000 0.227  0.30
3 Sn 0.500 0.500 0.500  -0.01
4 V 0.500 0.500 0.000  1.40